In2I3 | PBE | relaxed

Calculated values
- Volume: 44.9 Å³/atom
- ρ: 4.5 Mg/m³
- E_form (uncorrected): -0.408 eV/atom
- Polymorph energy (0 for the lowest one): 5.3 meV/atom
- DFT total energy: -0.0894 Ha/atom

Structure (extended XYZ):
```
10
Lattice="0.000 7.175 4.611 6.781 0.000 4.611 6.781 7.175 0.000" Properties=species:S:1:pos:R:3 pbc="T T T"
In 7.411 5.149 4.611
In 9.543 8.737 6.917
In 6.152 9.202 4.611
In 10.801 12.790 6.917
I 3.391 3.588 0.385
I 8.931 7.885 3.691
I 12.322 10.054 5.996
I 4.632 6.466 3.691
I 6.781 7.175 7.302
I 8.023 11.473 5.996
```


In6I | PBE | relaxed

Calculated values
- Volume: 40.3 Å³/atom
- ρ: 4.8 Mg/m³
- E_form (uncorrected): 0.293 eV/atom
- DFT total energy: -0.0836 Ha/atom

Structure (extended XYZ):
```
7
Lattice="-4.132 4.132 4.132 4.132 -4.132 4.132 4.132 4.132 -4.132" Properties=species:S:1:pos:R:3 pbc="T T T"
In 4.132 2.066 0.000
In 4.132 0.000 2.066
In 2.066 4.132 0.000
In 2.066 0.000 4.132
In 0.000 4.132 2.066
In 0.000 2.066 4.132
I 0.000 0.000 0.000
```


In3IrI | PBE | relaxed

Calculated values
- Volume: 27.2 Å³/atom
- ρ: 8.1 Mg/m³
- E_form (uncorrected): 0.026 eV/atom
- Polymorph energy (0 for the lowest one): 308.0 meV/atom
- DFT total energy: -0.1360 Ha/atom

Structure (extended XYZ):
```
20
Lattice="6.549 -6.099 0.000 6.549 6.099 0.000 -1.857 0.000 6.820" Properties=species:S:1:pos:R:3 pbc="T T T"
In 0.470 0.668 3.047
In 1.717 2.150 5.554
In -0.458 -0.668 6.457
In 3.474 0.695 1.825
In 2.546 -0.695 5.235
In 2.645 -2.150 2.144
In 8.595 2.150 4.676
In 8.695 0.695 1.585
In 7.766 -0.695 4.995
In 11.698 0.668 0.363
In 9.523 -2.150 1.266
In 10.770 -0.668 3.774
Ir 3.465 4.234 6.118
Ir 6.847 4.234 4.113
Ir 4.393 -4.234 2.707
Ir 7.775 -4.234 0.703
I 6.084 3.098 1.705
I 5.156 2.205 5.115
I 6.084 -2.205 1.705
I 5.156 -3.098 5.115
```


In3IrI | PBE | relaxed

Calculated values
- Volume: 29.4 Å³/atom
- ρ: 7.5 Mg/m³
- E_form (uncorrected): -0.282 eV/atom
- Polymorph energy (0 for the lowest one): 0.0 meV/atom
- DFT total energy: -0.1473 Ha/atom

Structure (extended XYZ):
```
5
Lattice="5.279 0.000 0.000 0.000 5.279 0.000 0.000 0.000 5.279" Properties=species:S:1:pos:R:3 pbc="T T T"
In 0.000 0.000 2.639
In 0.000 2.639 0.000
In 2.639 0.000 0.000
Ir 0.000 0.000 0.000
I 2.639 2.639 2.639
```


In3IrI | PBE | relaxed

Calculated values
- Volume: 26.2 Å³/atom
- ρ: 8.4 Mg/m³
- E_form (uncorrected): 0.104 eV/atom
- Polymorph energy (0 for the lowest one): 386.1 meV/atom
- DFT total energy: -0.1331 Ha/atom

Structure (extended XYZ):
```
10
Lattice="5.161 0.000 0.000 -2.580 4.470 0.000 0.000 0.000 11.364" Properties=species:S:1:pos:R:3 pbc="T T T"
In 0.000 0.000 2.841
In 0.000 0.000 8.523
In 0.000 2.980 0.284
In 0.000 2.980 5.398
In 2.581 1.490 5.966
In 2.581 1.490 11.080
Ir 0.000 0.000 0.000
Ir 0.000 0.000 5.682
I 0.000 2.980 8.523
I 2.581 1.490 2.841
```


InIrI2 | PBE | relaxed

Calculated values
- Volume: 32.4 Å³/atom
- ρ: 7.2 Mg/m³
- E_form (uncorrected): 0.104 eV/atom
- Polymorph energy (0 for the lowest one): 0.0 meV/atom
- DFT total energy: -0.1312 Ha/atom

Structure (extended XYZ):
```
8
Lattice="-4.937 4.937 2.662 4.937 -4.937 2.662 4.937 4.937 -2.662" Properties=species:S:1:pos:R:3 pbc="T T T"
In 0.000 0.000 0.000
In 0.000 4.937 1.331
Ir 4.937 0.000 1.331
Ir 0.000 0.000 2.662
I 2.468 -1.024 1.996
I 3.913 2.468 0.665
I 2.468 5.961 -0.665
I 1.024 2.468 3.327
```


In3IrI | PBE | relaxed

Calculated values
- Volume: 27.4 Å³/atom
- ρ: 8.0 Mg/m³
- E_form (uncorrected): -0.080 eV/atom
- Polymorph energy (0 for the lowest one): 202.9 meV/atom
- DFT total energy: -0.1398 Ha/atom

Structure (extended XYZ):
```
10
Lattice="7.476 -2.084 0.000 7.476 2.084 0.000 -1.637 0.000 8.804" Properties=species:S:1:pos:R:3 pbc="T T T"
In 0.464 0.000 1.656
In 2.659 0.000 6.605
In 5.778 0.000 0.897
In 7.537 0.000 7.907
In 10.657 0.000 2.199
In 12.851 0.000 7.148
Ir 2.945 0.000 0.545
Ir 10.371 0.000 8.259
I 4.775 0.000 4.353
I 8.541 0.000 4.452
```


InIr3I | PBE | relaxed

Calculated values
- Volume: 23.4 Å³/atom
- ρ: 11.6 Mg/m³
- E_form (uncorrected): 1.793 eV/atom
- Polymorph energy (0 for the lowest one): 0.0 meV/atom
- DFT total energy: -0.1610 Ha/atom

Structure (extended XYZ):
```
5
Lattice="4.888 0.000 0.000 0.000 4.888 0.000 0.000 0.000 4.888" Properties=species:S:1:pos:R:3 pbc="T T T"
In 0.000 0.000 0.000
Ir 0.000 2.444 2.444
Ir 2.444 0.000 2.444
Ir 2.444 2.444 0.000
I 2.444 2.444 2.444
```